DFT (PBE) results for Er2Cd3Hg4 after structural relaxation.

Unit cell a=6.1755 b=8.2893 c=9.0988 alpha=90.00 beta=109.84 gamma=90.00
Closest atoms and distances in Å follow each position.
Element x y z (fractional)
Er 0.0988 0.5957 0.1976  7 Hg 3.23-3.39, 4 Cd 3.54-3.61
Er 0.9012 0.4043 0.8024  7 Hg 3.23-3.39, 4 Cd 3.54-3.61
Er 0.4012 0.0957 0.8024  7 Hg 3.23-3.39, 4 Cd 3.54-3.61
Er 0.5988 0.9043 0.1976  7 Hg 3.23-3.39, 4 Cd 3.54-3.61
Cd 0.0000 0.0000 0.0000  6 Hg 2.79-2.88
Cd 0.5000 0.5000 0.0000  6 Hg 2.79-2.88
Cd 0.5193 0.7500 0.5387  5 Hg 2.90-3.06, 2 Cd 3.09
Cd 0.9807 0.2500 0.4613  5 Hg 2.90-3.06, 2 Cd 3.09
Cd 0.4807 0.2500 0.4613  5 Hg 2.90-3.06, 2 Cd 3.09
Cd 0.0193 0.7500 0.5387  5 Hg 2.90-3.06, 2 Cd 3.09
Hg 0.6892 0.7500 0.8783  3 Cd 2.79-2.91, 2 Hg 3.09
Hg 0.8108 0.2500 0.1217  3 Cd 2.79-2.91, 2 Hg 3.09
Hg 0.3108 0.2500 0.1217  3 Cd 2.79-2.91, 2 Hg 3.09
Hg 0.1892 0.7500 0.8783  3 Cd 2.79-2.91, 2 Hg 3.09
Hg 0.1673 0.9587 0.3347  5 Cd 2.88-3.06, 1 Er 3.23
Hg 0.8327 0.0413 0.6653  5 Cd 2.88-3.06, 1 Er 3.23
Hg 0.3327 0.4587 0.6653  5 Cd 2.88-3.06, 1 Er 3.23
Hg 0.6673 0.5413 0.3347  5 Cd 2.88-3.06, 1 Er 3.23

Summary:
Magnetic moment, μB per formula unit: 0.00
N(E_F), states/eV/f.u.: 6.182
ΔH_f (0 K), eV/atom: -0.165
V, Å³/atom: 24.34
Uncorrected energy, eV for the cell shown: -29.12
Density, g/cm3: 11.17
Energy relative to the lowest polymorph listed for this composition, eV/atom: 0.109


DFT (PBE) results for BaCaCo2 after structural relaxation.

Unit cell a=5.1407 b=5.1407 c=5.1407 alpha=60.00 beta=60.00 gamma=60.00
Closest atoms and distances in Å follow each position.
Element x y z (fractional)
Ca 0.0000 0.0000 0.0000  8 Co 3.15
Co 0.2500 0.2500 0.2500  4 Ba 3.15, 4 Ca 3.15
Co 0.7500 0.7500 0.7500  4 Ba 3.15, 4 Ca 3.15
Ba 0.5000 0.5000 0.5000  8 Co 3.15

Summary:
Magnetic moment, μB per formula unit: 2.14
N(E_F), states/eV/f.u.: 8.336
ΔH_f (0 K), eV/atom: 0.675
V, Å³/atom: 24.02
Uncorrected energy, eV for the cell shown: -15.43
Density, g/cm3: 5.10
Energy relative to the lowest polymorph listed for this composition, eV/atom: 0.540


DFT (PBE) results for Pm2AsBr2 after structural relaxation.

Unit cell a=4.2007 b=4.2007 c=10.9487 alpha=78.94 beta=78.94 gamma=60.00
Closest atoms and distances in Å follow each position.
Element x y z (fractional)
Pm 0.6156 0.6156 0.1530  3 As 2.92, 3 Br 3.03
Pm 0.3844 0.3844 0.8470  3 As 2.92, 3 Br 3.03
As 0.0000 0.0000 0.0000  6 Pm 2.92
Br 0.2254 0.2254 0.3239  3 Pm 3.03
Br 0.7746 0.7746 0.6761  3 Pm 3.03

Summary:
Magnetic moment, μB per formula unit: 0.00
N(E_F), states/eV/f.u.: 1.899
Uncorrected formation energy, eV per atom: -1.73
V, Å³/atom: 32.63
Uncorrected energy, eV for the cell shown: -26.14
Density, g/cm3: 5.34


DFT (PBE) results for Rb2InSnPb6 after structural relaxation.

Unit cell a=8.2936 b=8.2936 c=14.4935 alpha=73.37 beta=73.37 gamma=60.00
Closest atoms and distances in Å follow each position.
Element x y z (fractional)
Rb 0.8581 0.8581 0.4258  6 Pb 3.80-3.81
Rb 0.1419 0.1419 0.5742  6 Pb 3.80-3.81
Rb 0.6870 0.6870 0.9391  1 Sn 4.17, 12 Pb 4.23-4.51
Rb 0.3130 0.3130 0.0609  1 Sn 4.17, 12 Pb 4.23-4.51
In 0.0000 0.0000 0.0000  6 Pb 3.17
In 0.5000 0.5000 0.5000  2 Sn 3.50, 6 Pb 3.62
Sn 0.5853 0.5853 0.2442  6 Pb 2.99-3.11
Sn 0.4147 0.4147 0.7558  6 Pb 2.99-3.11
Pb 0.9505 0.3569 0.3357  1 Sn 3.11, 2 Pb 3.37
Pb 0.3569 0.9505 0.3357  1 Sn 3.11, 2 Pb 3.37
Pb 0.3569 0.3569 0.3357  1 Sn 3.11, 2 Pb 3.37
Pb 0.0495 0.6431 0.6643  1 Sn 3.11, 2 Pb 3.37
Pb 0.6431 0.0495 0.6643  1 Sn 3.11, 2 Pb 3.37
Pb 0.6431 0.6431 0.6643  1 Sn 3.11, 2 Pb 3.37
Pb 0.7958 0.1945 0.8152  1 Sn 2.99, 1 In 3.17, 2 Pb 3.31
Pb 0.1945 0.7958 0.8152  1 Sn 2.99, 1 In 3.17, 2 Pb 3.31
Pb 0.1945 0.1945 0.8152  1 Sn 2.99, 1 In 3.17, 2 Pb 3.31
Pb 0.2042 0.8055 0.1848  1 Sn 2.99, 1 In 3.17, 2 Pb 3.31
Pb 0.8055 0.2042 0.1848  1 Sn 2.99, 1 In 3.17, 2 Pb 3.31
Pb 0.8055 0.8055 0.1848  1 Sn 2.99, 1 In 3.17, 2 Pb 3.31

Summary:
Magnetic moment, μB per formula unit: 0.00
N(E_F), states/eV/f.u.: 5.591
ΔH_f (0 K), eV/atom: 0.065
V, Å³/atom: 40.74
Uncorrected energy, eV for the cell shown: -60.56
Density, g/cm3: 6.72


Q: Which of these has the highest V?
A: Rb2InSnPb6


Q: V of number 2 (BaCaCo2)?
A: 24.02 Å³/atom